1.
The following is a DFT calculation (GGA-PBE) of an optimized crystal structure of Pr2SbIr.

Lattice parameters (Å, degrees): 4.3698 4.3698 7.5907 73.27 73.27 60.00
Closest atoms and distances in Å follow each position.
Sites, in units of the cell vectors:
Pr  0.7400  0.7400  0.7800  3 Ir 2.97, 3 Sb 3.22
Sb  0.5000  0.5000  0.5000  6 Pr 3.22
Ir  0.0000  0.0000  0.0000  6 Pr 2.97
Pr  0.2600  0.2600  0.2200  3 Ir 2.97, 3 Sb 3.22

* ΔE_f (raw): -0.690 eV per atom
* Fermi-level density of states: 0.317 states/eV per atom



2.
The following is a DFT calculation (GGA-PBE) of an optimized crystal structure of HgB2I8.

Lattice parameters (Å, degrees): 10.2110 11.2061 11.7588 67.70 64.27 62.90
Closest atoms and distances in Å follow each position.
Sites, in units of the cell vectors:
I  0.7280  0.9610  0.1376  1 B 2.26
Hg  0.9980  0.7500  0.2500  6 I 3.05-3.13
B  0.3177  0.3670  0.4631  4 I 2.21-2.30
I  0.1735  0.4610  0.6376  1 B 2.26
I  0.8757  0.0379  0.7768  1 B 2.30
I  0.7217  0.7645  0.9476  1 B 2.21
I  0.4339  0.7355  0.5524  1 B 2.21
I  0.2185  0.2168  0.4734  1 B 2.27
B  0.6823  0.6330  0.5369  4 I 2.21-2.30
I  0.0912  0.7168  0.9734  1 B 2.27
I  0.8265  0.5390  0.3624  1 B 2.26
I  0.7815  0.7832  0.5266  1 B 2.27
I  0.2720  0.0390  0.8624  1 B 2.26
I  0.5661  0.2645  0.4476  1 B 2.21
I  0.2783  0.2355  0.0524  1 B 2.21
I  0.6904  0.4621  0.7232  1 B 2.30
I  0.3096  0.5379  0.2768  1 B 2.30
I  0.9088  0.2832  0.0266  1 B 2.27
B  0.8521  0.8670  0.9631  4 I 2.21-2.30
B  0.1479  0.1330  0.0369  4 I 2.21-2.30
I  0.1243  0.9621  0.2232  1 B 2.30
Hg  0.0020  0.2500  0.7500  6 I 3.05-3.13

* ΔE_f (raw): -0.051 eV per atom



3.
The following is a DFT calculation (GGA-PBE) of an optimized crystal structure of BaSrSeS.

Lattice parameters (Å, degrees): 4.5045 4.5045 7.8252 73.27 73.27 60.00
Closest atoms and distances in Å follow each position.
Sites, in units of the cell vectors:
Ba  0.9971  0.9971  0.0088  3 S 3.21, 3 Se 3.29
Sr  0.5026  0.5026  0.4922  3 S 3.10, 3 Se 3.16
S  0.2455  0.2455  0.2635  3 Sr 3.10, 3 Ba 3.21
Se  0.7549  0.7549  0.7354  3 Sr 3.16, 3 Ba 3.29

* ΔE_f (raw): -2.071 eV per atom
* Fermi-level density of states: 0.000 states/eV per atom
* distance to the lowest polymorph of the same formula: 0.0 meV/atom



4.
The following is a DFT calculation (GGA-PBE) of an optimized crystal structure of Er5ScTl6.

Lattice parameters (Å, degrees): 4.9810 9.8521 8.9027 56.40 73.78 59.67
Closest atoms and distances in Å follow each position.
Sites, in units of the cell vectors:
Tl  0.2482  0.5865  0.3303  1 Sc 3.23, 7 Er 3.25-3.32, 4 Tl 3.49-3.54
Tl  0.2482  0.9169  0.6697  1 Sc 3.23, 7 Er 3.25-3.32, 4 Tl 3.49-3.54
Tl  0.2528  0.2471  0.0000  6 Er 3.21-3.29, 2 Sc 3.26, 4 Tl 3.49
Er  0.5000  0.1638  0.6724  8 Tl 3.21-3.32, 2 Sc 3.48, 2 Er 3.53
Tl  0.7472  0.7529  0.0000  6 Er 3.21-3.29, 2 Sc 3.26, 4 Tl 3.49
Tl  0.7518  0.4135  0.6697  1 Sc 3.23, 7 Er 3.25-3.32, 4 Tl 3.49-3.54
Er  0.5000  0.5000  0.0000  8 Tl 3.25-3.29, 4 Er 3.52
Er  0.5000  0.8362  0.3276  8 Tl 3.21-3.32, 2 Sc 3.48, 2 Er 3.53
Er  0.0000  0.6675  0.6649  8 Tl 3.26-3.29, 4 Er 3.52-3.53
Sc  0.0000  0.0000  0.0000  8 Tl 3.23-3.26, 4 Er 3.48
Tl  0.7518  0.0831  0.3303  1 Sc 3.23, 7 Er 3.25-3.32, 4 Tl 3.49-3.54
Er  0.0000  0.3325  0.3351  8 Tl 3.26-3.29, 4 Er 3.52-3.53

* Fermi-level density of states: 0.786 states/eV per atom
* distance to the lowest polymorph of the same formula: 3.1 meV/atom
* ΔE_f: -0.294 eV/atom



- Number 1 is which compound?
  Pr2SbIr